[1]
BeNi2Bi2 | GGA-PBE | optimized geometry

```
10
Lattice="-4.812 -4.955 -2.604 3.640 -0.163 -6.419 2.018 -2.596 1.210" Properties=species:S:1:pos:R:3 pbc="T T T"
Ni 1.237 -4.508 -6.662
Ni 2.690 -1.988 -3.678
Ni -1.844 -5.725 -4.135
Ni -0.392 -3.205 -1.151
Bi -1.506 -4.193 -6.484
Bi 1.440 -1.740 -6.135
Bi -2.612 -3.377 -2.888
Bi 0.334 -0.924 -2.539
Be -0.586 -2.559 -4.511
Be 0.000 0.000 0.000
```

- Energy above the lowest structure with this stoichiometry: 83 meV/atom
- DFT formation energy: 0.54 eV per atom
- Total magnetic moment: 0.0 μB per formula unit
- SG: P4/mbm
- Crystal system: tetragonal
- Final energy: -40.66 eV for the cell shown

---

[2]
TaNiW2 | GGA-PBE | optimized geometry

```
4
Lattice="4.439 0.000 0.000 0.000 2.704 -0.003 0.000 0.819 5.190" Properties=species:S:1:pos:R:3 pbc="T T T"
W 2.220 0.922 1.249
W 0.000 0.037 0.049
Ta 2.220 2.646 3.843
Ni 0.000 1.679 2.639
```

- Energy above the lowest structure with this stoichiometry: 123 meV/atom
- DFT formation energy: 0.11 eV per atom
- Total magnetic moment: 0.0 μB per formula unit
- SG: Pm
- Crystal system: monoclinic
- Final energy: -43.10 eV for the cell shown

---

[3]
Dy2HoIn3Se6 | GGA-PBE | optimized geometry

```
12
Lattice="7.176 -0.001 0.000 -3.587 6.215 0.000 -1.197 -2.072 7.745" Properties=species:S:1:pos:R:3 pbc="T T T"
Se 3.584 2.077 6.137
Se 0.008 4.143 6.137
Se 2.384 0.000 1.609
Se 2.397 4.150 1.612
Se -0.004 -0.007 6.134
Se -1.192 2.065 1.609
In 4.781 0.001 3.873
In -2.388 4.141 3.873
In 1.196 2.071 3.873
Ho 0.000 0.000 0.000
Dy 0.001 4.143 0.000
Dy 3.588 2.071 0.000
```

- Uncorrected formation energy: -1.30 eV per atom
- Total magnetic moment: 0.0 μB per formula unit
- SG: C2/m
- Crystal system: monoclinic
- Final energy: -58.51 eV for the cell shown

---

[4]
Ta2PtPb | GGA-PBE | optimized geometry

```
4
Lattice="-5.183 -0.219 -0.468 -4.206 -3.072 0.007 -1.526 0.294 4.901" Properties=species:S:1:pos:R:3 pbc="T T T"
Ta -5.487 -1.531 2.088
Ta -9.360 -3.259 -0.329
Pt -2.729 -0.749 1.110
Pb -8.186 -2.248 3.330
```

- DFT formation energy: 0.08 eV per atom
- Total magnetic moment: 0.0 μB per formula unit
- SG: C2/m
- Crystal system: monoclinic
- Final energy: -33.13 eV for the cell shown